Compound: TbSc2Bi4
Source: the Alexandria database
Functional: PBE
Structure: optimized geometry

Symmetry ... No. 63
Density ... 8.9 Mg/m³
V ... 28.92 Å³/atom
Energy of formation ... -0.518 eV per atom

Unit cell a=6.0544 b=6.0544 c=16.3093 alpha=90.00 beta=90.00 gamma=137.37
With the nearest neighbours (Å) after each atom.
Fractional positions:
Tb 0.0674 0.9326 0.7500  7 Bi 3.22-3.28
Tb 0.9326 0.0674 0.2500  7 Bi 3.22-3.28
Sc 0.3456 0.6544 0.5735  6 Bi 2.88-3.13
Sc 0.3456 0.6544 0.9265  6 Bi 2.88-3.13
Sc 0.6544 0.3456 0.0735  6 Bi 2.88-3.13
Sc 0.6544 0.3456 0.4265  6 Bi 2.88-3.13
Bi 0.0000 0.0000 0.0000  4 Sc 3.05
Bi 0.0000 0.0000 0.5000  4 Sc 3.05
Bi 0.3365 0.6635 0.1183  3 Sc 3.10-3.13, 2 Tb 3.26, 2 Bi 3.46
Bi 0.3365 0.6635 0.3817  3 Sc 3.10-3.13, 2 Tb 3.26, 2 Bi 3.46
Bi 0.3585 0.6415 0.7500  2 Sc 2.88, 2 Tb 3.22
Bi 0.6415 0.3585 0.2500  2 Sc 2.88, 2 Tb 3.22
Bi 0.6635 0.3365 0.6183  3 Sc 3.10-3.13, 2 Tb 3.26, 2 Bi 3.46
Bi 0.6635 0.3365 0.8817  3 Sc 3.10-3.13, 2 Tb 3.26, 2 Bi 3.46